A plane-wave DFT calculation with meta-GGA SCAN was carried out for a PBEsol-optimized structure of La3NbRh.

The total energy comes out at -193.06 eV/cell. The total magnetization comes out at 0.00 μB/atom.

Cell lengths 5.348, 5.348, 5.348 Å; angles 90.00, 90.00, 90.00 degrees
Element x y z (fractional)
La 0.000 0.000 0.500
La 0.000 0.500 0.000
La 0.500 0.000 0.000
Nb 0.000 0.000 0.000
Rh 0.500 0.500 0.500